No. 1
The following is a DFT calculation (PBE-GGA) of a relaxed TbCF crystal.

Computed properties:
Energy: -6.808 eV/atom
Raw formation energy: -1.57 eV per atom
Fermi-level density of states: 0.101 states/eV/atom
Energy relative to the lowest polymorph listed for this composition: 0.411 eV per atom
Size of the total moment: 0.00 Bohr magnetons per cell

Cell: 7.0777 3.0546 6.8330 Å, 90.00 90.00 90.00°
Closest atoms and distances in Å follow each position.
Space group Pnma (No. 62)
One atom of each set of equivalent atoms:
Tb  0.2077  0.2500  0.1773 [4 per cell]  4 F 2.19-2.40
C  0.0061  0.7500  0.4373 [4 per cell]  2 C 1.75
F  0.1124  0.7500  0.9373 [4 per cell]  4 Tb 2.19-2.40, 2 F 2.37

No. 2
The following is a DFT calculation (PBE-GGA) of a relaxed Sm8Dy5Pu crystal.

Computed properties:
Energy relative to the elements: 222 meV/atom
Energy: -5.142 eV/atom
Fermi-level density of states: 1.530 states/eV/atom
Size of the total moment: 12.65 Bohr magnetons per cell

Cell: 14.3782 8.9333 9.3656 Å, 90.00 128.41 90.00°
Closest atoms and distances in Å follow each position.
Space group C2 (No. 5)
One atom of each set of equivalent atoms:
Sm  0.0348  0.0000  0.3623 [4 per cell]  2 Dy 3.13-3.49, 1 Pu 3.26, 2 Sm 3.30-3.42
Sm  0.1852  0.5759  0.7124 [4 per cell]  1 Pu 3.15, 1 Dy 3.42, 1 Sm 3.49
Sm  0.1979  0.3242  0.4267 [4 per cell]  1 Pu 3.32, 4 Dy 3.37-3.71, 5 Sm 3.42-3.59
Sm  0.2490  0.6534  0.1837 [4 per cell]  1 Pu 3.26, 4 Dy 3.36-3.53, 3 Sm 3.57-3.63
Dy  0.0000  0.9587  0.0000 [2 per cell]  2 Sm 3.13, 2 Dy 3.43
Dy  0.0337  0.6360  0.2264 [4 per cell]  2 Dy 3.30-3.43, 7 Sm 3.36-3.66
Dy  0.1039  0.3151  0.9574 [4 per cell]  3 Dy 3.30-3.64, 5 Sm 3.42-3.67, 1 Pu 3.55
Pu  0.0000  0.3149  0.5000 [2 per cell]  8 Sm 3.15-3.32

No. 3
The following is a DFT calculation (PBE-GGA) of a relaxed LiAcScHg crystal.

Computed properties:
Energy relative to the elements: -107 meV/atom
Energy: -3.270 eV/atom
Fermi-level density of states: 1.352 states/eV/atom
Size of the total moment: 0.47 Bohr magnetons per cell

Cell: 7.6009 7.6009 7.6009 Å, 90.00 90.00 90.00°
Closest atoms and distances in Å follow each position.
Space group F-43m (No. 216)
One atom of each set of equivalent atoms:
Li  0.0000  0.0000  0.0000 [4 per cell]  4 Ac 3.29, 4 Sc 3.29
Ac  0.2500  0.2500  0.2500 [4 per cell]  4 Hg 3.29, 4 Li 3.29
Sc  0.2500  0.2500  0.7500 [4 per cell]  4 Hg 3.29, 4 Li 3.29
Hg  0.0000  0.0000  0.5000 [4 per cell]  4 Ac 3.29, 4 Sc 3.29

No. 4
The following is a DFT calculation (PBE-GGA) of a relaxed Tl13As2 crystal.

Computed properties:
Energy relative to the elements: 82 meV/atom
Energy: -2.588 eV/atom
Fermi-level density of states: 0.467 states/eV/atom
Energy relative to the lowest polymorph listed for this composition: 0.055 eV per atom
Size of the total moment: 0.00 Bohr magnetons per cell

Cell: 9.1129 9.1129 19.9314 Å, 90.00 90.00 120.00°
Closest atoms and distances in Å follow each position.
Space group R-3m (No. 166, hexagonal axes)
One atom of each set of equivalent atoms:
Tl  0.0000  0.0000  0.0000 [3 per cell]  2 As 2.95
Tl  0.0713  0.5356  0.4097 [18 per cell]  1 As 3.00, 2 Tl 3.24
Tl  0.0762  0.5381  0.2366 [18 per cell]  7 Tl 3.24-3.51, 1 As 3.39
As  0.0000  0.0000  0.1481 [6 per cell]  4 Tl 2.95-3.00

No. 5
The following is a DFT calculation (PBE-GGA) of a relaxed Li2TaTl crystal.

Computed properties:
Energy relative to the elements: 322 meV/atom
Energy: -4.190 eV/atom
Fermi-level density of states: 0.875 states/eV/atom
Size of the total moment: 0.00 Bohr magnetons per cell

Cell: 3.4025 4.7867 9.8571 Å, 90.00 90.00 90.00°
Closest atoms and distances in Å follow each position.
Space group Cmm2 (No. 35)
One atom of each set of equivalent atoms:
Li  0.0000  0.0000  0.0000 [2 per cell]  2 Tl 2.85, 6 Li 2.94-3.09
Li  0.0000  0.5000  0.2621 [2 per cell]  6 Li 2.94-3.09, 2 Ta 2.96
Ta  0.0000  0.0000  0.5075 [2 per cell]  4 Ta 2.94, 2 Li 2.96, 2 Tl 3.08
Tl  0.0000  0.5000  0.7680 [2 per cell]  2 Li 2.85, 4 Tl 2.94, 2 Ta 3.08

No. 6
The following is a DFT calculation (PBE-GGA) of a relaxed TcW crystal.

Computed properties:
Energy relative to the elements: 200 meV/atom
Energy: -11.460 eV/atom
Fermi-level density of states: 1.010 states/eV/atom
Energy relative to the lowest polymorph listed for this composition: 0.135 eV per atom
Size of the total moment: 0.00 Bohr magnetons per cell

Cell: 2.8116 2.8116 3.9145 Å, 90.00 90.00 90.00°
Closest atoms and distances in Å follow each position.
Space group P4/mmm (No. 123)
One atom of each set of equivalent atoms:
Tc  0.0000  0.0000  0.0000 [1 per cell]  8 W 2.79, 4 Tc 2.81
W  0.5000  0.5000  0.5000 [1 per cell]  8 Tc 2.79, 4 W 2.81

No. 7
The following is a DFT calculation (PBE-GGA) of a relaxed PtRhSe crystal.

Computed properties:
Energy: -5.485 eV/atom
Raw formation energy: 0.14 eV per atom
Fermi-level density of states: 1.278 states/eV/atom
Energy relative to the lowest polymorph listed for this composition: 0.140 eV per atom
Size of the total moment: 0.00 Bohr magnetons per cell

Cell: 5.9395 5.9395 5.9395 Å, 90.00 90.00 90.00°
Closest atoms and distances in Å follow each position.
Space group F-43m (No. 216)
One atom of each set of equivalent atoms:
Pt  0.0000  0.0000  0.0000 [4 per cell]  4 Se 2.57
Rh  0.0000  0.0000  0.5000 [4 per cell]  4 Se 2.57
Se  0.2500  0.2500  0.7500 [4 per cell]  4 Rh 2.57, 4 Pt 2.57

No. 8
The following is a DFT calculation (PBE-GGA) of a relaxed AlTl crystal.

Computed properties:
Energy relative to the elements: 166 meV/atom
Energy: -2.888 eV/atom
Fermi-level density of states: 0.259 states/eV/atom
Size of the total moment: 0.00 Bohr magnetons per cell

Cell: 4.3880 4.8920 9.0398 Å, 90.00 90.00 90.00°
Closest atoms and distances in Å follow each position.
Space group Cmme (No. 67)
One atom of each set of equivalent atoms:
Al  0.0000  0.2500  0.0891 [4 per cell]  4 Al 2.72-2.93
Tl  0.0000  0.2500  0.6582 [4 per cell]  4 Al 3.17-3.35, 4 Tl 3.29

No. 9
The following is a DFT calculation (PBE-GGA) of a relaxed TmSc2Ni crystal.

Computed properties:
Energy relative to the elements: 90 meV/atom
Energy: -5.639 eV/atom
Fermi-level density of states: 1.637 states/eV/atom
Energy relative to the lowest polymorph listed for this composition: 0.362 eV per atom
Size of the total moment: 0.00 Bohr magnetons per cell

Cell: 3.2993 3.2993 29.9899 Å, 90.00 90.00 120.00°
Closest atoms and distances in Å follow each position.
Space group R-3m (No. 166, hexagonal axes)
One atom of each set of equivalent atoms:
Tm  0.0000  0.0000  0.0000 [3 per cell]  2 Sc 3.26, 6 Tm 3.30
Sc  0.0000  0.0000  0.1086 [6 per cell]  3 Ni 2.58
Ni  0.0000  0.0000  0.5000 [3 per cell]  6 Sc 2.58

No. 10
The following is a DFT calculation (PBE-GGA) of a relaxed Pr3Sm2Tl3 crystal.

Computed properties:
Energy relative to the elements: -278 meV/atom
Energy: -4.138 eV/atom
Fermi-level density of states: 1.093 states/eV/atom
Size of the total moment: 0.00 Bohr magnetons per cell

Cell: 4.5327 5.1156 21.3859 Å, 90.00 90.00 90.00°
Closest atoms and distances in Å follow each position.
Space group Immm (No. 71)
One atom of each set of equivalent atoms:
Pr  0.0000  0.0000  0.0000 [2 per cell]  8 Tl 3.42-3.56, 4 Pr 3.62
Pr  0.0000  0.5000  0.1197 [4 per cell]  6 Tl 3.42, 4 Sm 3.58-3.82, 2 Pr 3.62
Sm  0.0000  0.0000  0.2367 [4 per cell]  2 Tl 3.24, 4 Sm 3.46, 2 Pr 3.58
Tl  0.0000  0.0000  0.5000 [2 per cell]  8 Pr 3.42, 4 Tl 3.76
Tl  0.0000  0.5000  0.3714 [4 per cell]  2 Sm 3.24, 6 Pr 3.42-3.56

No. 11
The following is a DFT calculation (PBE-GGA) of a relaxed ScTe2AuN crystal.

Computed properties:
Energy: -4.518 eV/atom
Raw formation energy: 0.33 eV per atom
Fermi-level density of states: 0.755 states/eV/atom
Energy relative to the lowest polymorph listed for this composition: 0.000 eV per atom
Size of the total moment: 0.00 Bohr magnetons per cell

Cell: 5.6815 5.6815 3.8694 Å, 90.00 90.00 90.00°
Closest atoms and distances in Å follow each position.
Space group P4/mmm (No. 123)
One atom of each set of equivalent atoms:
Sc  0.0000  0.0000  0.0000 [1 per cell]  2 N 1.93
Te  0.0000  0.5000  0.0000 [2 per cell]  2 Sc 2.84
Au  0.5000  0.5000  0.5000 [1 per cell]  8 Te 3.44
N  0.0000  0.0000  0.5000 [1 per cell]  2 Sc 1.93

No. 12
The following is a DFT calculation (PBE-GGA) of a relaxed Pm8Nd2Sc crystal.

Computed properties:
Energy relative to the elements: 27 meV/atom
Energy: -4.870 eV/atom
Fermi-level density of states: 1.546 states/eV/atom
Energy relative to the lowest polymorph listed for this composition: 0.000 eV per atom
Size of the total moment: 0.00 Bohr magnetons per cell

Cell: 18.4436 5.1308 8.0983 Å, 90.00 105.30 90.00°
Closest atoms and distances in Å follow each position.
Space group C2/m (No. 12)
One atom of each set of equivalent atoms:
Pm  0.0446  0.0000  0.2311 [4 per cell]  9 Pm 3.55-3.68, 2 Sc 3.60, 1 Nd 3.63
Pm  0.0891  0.5000  0.9467 [4 per cell]  1 Sc 3.56, 8 Pm 3.59-3.68, 3 Nd 3.64
Pm  0.1342  0.0000  0.6769 [4 per cell]  7 Pm 3.55-3.68, 2 Sc 3.59, 3 Nd 3.66-3.67
Pm  0.1796  0.5000  0.4095 [4 per cell]  1 Sc 3.58, 8 Pm 3.60-3.68, 3 Nd 3.63-3.64
Nd  0.2260  0.0000  0.1362 [4 per cell]  10 Pm 3.63-3.67, 2 Nd 3.64
Sc  0.0000  0.5000  0.5000 [2 per cell]  12 Pm 3.56-3.60